1.
This record from Alexandria via LeMat-Bulk describes a geometry-optimized ZrRuAu2 structure. The functional is PBE.

Properties
Magnetic moment (Bohr magnetons per cell): 0.75
Formation enthalpy at 0 K (kJ per mole of atoms): 17.5
Crystal system: trigonal
SG: R-3m (166)
Density of states at the Fermi level (states/eV per atom): 1.138
Relative energy among the computed polymorphs (meV/atom): 555.3

Unit cell a=9.793 b=9.793 c=9.793 alpha=17.14 beta=17.14 gamma=17.14
Site moments in Bohr magnetons follow the coordinates.
Fractional coordinates of all 4 atoms:
Au 0.997 0.997 0.997  0.01
Au 0.503 0.503 0.503  0.01
Ru 0.250 0.250 0.250  0.73
Zr 0.750 0.750 0.750  -0.01

=====

2.
This record from Alexandria via LeMat-Bulk describes a geometry-optimized BaIr2Rh structure. The functional is PBE.

Properties
Magnetic moment (Bohr magnetons per cell): 0.00
Formation enthalpy at 0 K (kJ per mole of atoms): 78.0
Crystal system: tetragonal
SG: I4/mmm (139)
Density of states at the Fermi level (states/eV per atom): 1.356
Relative energy among the computed polymorphs (meV/atom): 841.0

Unit cell a=5.265 b=5.265 c=5.265 alpha=132.91 beta=132.91 gamma=68.80
Fractional coordinates of all 4 atoms:
Ba 0.000 0.000 0.000
Ir 0.750 0.250 0.500
Ir 0.250 0.750 0.500
Rh 0.500 0.500 0.000

=====

3.
This record from Alexandria via LeMat-Bulk describes a geometry-optimized Cs3BiO3 structure. The functional is PBE.

Properties
Formation energy from raw total energies (kcal/mol of atoms): -24.92
Magnetic moment (Bohr magnetons per cell): 0.00
Crystal system: orthorhombic
SG: Cmcm (63)
Density of states at the Fermi level (states/eV per atom): 0.034

Unit cell a=6.437 b=9.230 c=9.230 alpha=119.94 beta=90.00 gamma=90.00
Fractional coordinates of all 14 atoms:
Cs 0.250 0.657 0.828
Cs 0.250 0.171 0.343
Cs 0.250 0.171 0.829
Cs 0.750 0.343 0.172
Cs 0.750 0.829 0.657
Cs 0.750 0.829 0.171
Bi 0.750 0.333 0.667
Bi 0.250 0.667 0.333
O 0.750 0.605 0.802
O 0.750 0.197 0.395
O 0.750 0.197 0.804
O 0.250 0.395 0.198
O 0.250 0.803 0.605
O 0.250 0.803 0.196

=====

4.
This record from Alexandria via LeMat-Bulk describes a geometry-optimized La2Dy4HoSc structure. The functional is PBE.

Properties
Magnetic moment (Bohr magnetons per cell): 0.50
Formation enthalpy at 0 K (kJ per mole of atoms): 39.2
Crystal system: monoclinic
SG: C2/c (15)
Density of states at the Fermi level (states/eV per atom): 2.411

Unit cell a=9.443 b=9.443 c=11.794 alpha=128.63 beta=128.63 gamma=87.95
Fractional coordinates of all 16 atoms:
La 0.500 0.000 0.000
La 0.500 0.000 0.500
La 0.000 0.000 0.500
La 0.500 0.500 0.000
Dy 0.233 0.763 0.998
Dy 0.737 0.267 0.502
Dy 0.263 0.733 0.498
Dy 0.767 0.237 0.002
Dy 0.750 0.746 0.980
Dy 0.754 0.750 0.520
Dy 0.246 0.250 0.480
Dy 0.250 0.254 0.020
Ho 0.000 0.500 0.000
Ho 0.000 0.500 0.500
Sc 0.500 0.500 0.500
Sc 0.000 0.000 0.000

=====

5.
This record from Alexandria via LeMat-Bulk describes a geometry-optimized Ce2OsSe structure. The functional is PBE.

Properties
Formation energy from raw total energies (kcal/mol of atoms): -20.83
Magnetic moment (Bohr magnetons per cell): 0.59
Crystal system: trigonal
SG: R-3m (166)
Density of states at the Fermi level (states/eV per atom): 1.826

Unit cell a=4.034 b=4.034 c=7.471 alpha=74.34 beta=74.34 gamma=60.00
Site moments in Bohr magnetons follow the coordinates.
Fractional coordinates of all 4 atoms:
Os 0.000 0.000 0.000  -0.07
Se 0.500 0.500 0.500  -0.01
Ce 0.741 0.741 0.778  0.27
Ce 0.259 0.259 0.222  0.27

=====

6.
This record from Alexandria via LeMat-Bulk describes a geometry-optimized K2ZrMo structure. The functional is PBE.

Properties
Magnetic moment (Bohr magnetons per cell): 1.60
Formation enthalpy at 0 K (kJ per mole of atoms): 148.2
Crystal system: cubic
SG: F-43m (216)
Density of states at the Fermi level (states/eV per atom): 1.700
Relative energy among the computed polymorphs (meV/atom): 837.2

Unit cell a=5.394 b=5.394 c=5.394 alpha=119.99 beta=119.99 gamma=90.01
Site moments in Bohr magnetons follow the coordinates.
Fractional coordinates of all 4 atoms:
K 0.000 0.000 0.000  -0.02
K 0.250 0.750 0.500  0.01
Mo 0.500 0.500 0.000  1.99
Zr 0.750 0.250 0.500  -0.54

=====

7.
This record from Alexandria via LeMat-Bulk describes a geometry-optimized Zr2TcC2 structure. The functional is PBE.

Properties
Magnetic moment (Bohr magnetons per cell): 0.00
Formation enthalpy at 0 K (kJ per mole of atoms): 6.2
Crystal system: tetragonal
SG: I4/mmm (139)
Density of states at the Fermi level (states/eV per atom): 0.672
Relative energy among the computed polymorphs (meV/atom): 397.2

Unit cell a=5.049 b=5.049 c=4.518 alpha=56.03 beta=56.03 gamma=90.00
Fractional coordinates of all 5 atoms:
C 0.375 0.375 0.251
C 0.625 0.625 0.749
Tc 0.000 0.000 0.000
Zr 0.750 0.250 0.500
Zr 0.250 0.750 0.500

=====

8.
This record from Alexandria via LeMat-Bulk describes a geometry-optimized Ga2HgGeOs structure. The functional is PBE.

Properties
Magnetic moment (Bohr magnetons per cell): 0.00
Formation enthalpy at 0 K (kJ per mole of atoms): -0.6
Crystal system: tetragonal
SG: P4/mmm (123)
Density of states at the Fermi level (states/eV per atom): 0.089

Unit cell a=4.925 b=4.925 c=4.752 alpha=90.00 beta=90.00 gamma=90.00
Fractional coordinates of all 5 atoms:
Ge 0.000 0.000 0.500
Os 0.000 0.000 0.000
Hg 0.500 0.500 0.500
Ga 0.000 0.500 0.000
Ga 0.500 0.000 0.000

=====

9.
This record from Alexandria via LeMat-Bulk describes a geometry-optimized YSc2Rh structure. The functional is PBE.

Properties
Magnetic moment (Bohr magnetons per cell): 0.67
Formation enthalpy at 0 K (kJ per mole of atoms): -16.8
Crystal system: cubic
SG: Fm-3m (225)
Density of states at the Fermi level (states/eV per atom): 1.964
Relative energy among the computed polymorphs (meV/atom): 349.7

Unit cell a=4.916 b=4.916 c=4.916 alpha=60.00 beta=60.00 gamma=60.00
Site moments in Bohr magnetons follow the coordinates.
Fractional coordinates of all 4 atoms:
Y 0.000 0.000 0.000  0.18
Sc 0.250 0.250 0.250  0.16
Sc 0.750 0.750 0.750  0.16
Rh 0.500 0.500 0.500  -0.03

=====

10.
This record from Alexandria via LeMat-Bulk describes a geometry-optimized LiInN2 structure. The functional is PBE.

Properties
Formation energy from raw total energies (kcal/mol of atoms): 27.25
Magnetic moment (Bohr magnetons per cell): 2.00
Crystal system: trigonal
SG: R-3m (166)
Density of states at the Fermi level (states/eV per atom): 0.357

Unit cell a=6.775 b=6.775 c=6.775 alpha=28.38 beta=28.38 gamma=28.38
Site moments in Bohr magnetons follow the coordinates.
Fractional coordinates of all 4 atoms:
N 0.898 0.898 0.898  0.73
N 0.102 0.102 0.102  0.73
Li 0.500 0.500 0.500  0.00
In 0.000 0.000 0.000  -0.06

=====

11.
This record from Alexandria via LeMat-Bulk describes a geometry-optimized LiB2Se structure. The functional is PBE.

Properties
Formation energy from raw total energies (kcal/mol of atoms): 25.05
Magnetic moment (Bohr magnetons per cell): 0.00
Crystal system: tetragonal
SG: I-42d (122)
Density of states at the Fermi level (states/eV per atom): 0.437

Unit cell a=5.459 b=5.459 c=5.617 alpha=60.92 beta=60.92 gamma=90.00
Fractional coordinates of all 8 atoms:
B 0.658 0.125 0.250
B 0.092 0.625 0.250
B 0.375 0.342 0.750
B 0.875 0.908 0.750
Se 0.000 0.000 0.000
Se 0.750 0.250 0.500
Li 0.500 0.500 0.000
Li 0.250 0.750 0.500

=====

12.
This record from Alexandria via LeMat-Bulk describes a geometry-optimized NaNiP2 structure. The functional is PBE.

Properties
Magnetic moment (Bohr magnetons per cell): 0.00
Formation enthalpy at 0 K (kJ per mole of atoms): -29.8
Crystal system: trigonal
SG: R-3m (166)
Density of states at the Fermi level (states/eV per atom): 0.164
Relative energy among the computed polymorphs (meV/atom): 5.7

Unit cell a=3.639 b=3.639 c=6.333 alpha=73.30 beta=73.30 gamma=60.00
Fractional coordinates of all 4 atoms:
Ni 0.000 0.000 0.000
Na 0.500 0.500 0.500
P 0.284 0.284 0.147
P 0.716 0.716 0.853